1.
An optimized crystal structure of Ac12GaSi5. Source: Alexandria, functional GGA-PBE.

Lattice parameters (Å, degrees): 10.5277 10.6928 10.9956 90.00 90.00 90.00
Space group Immm (No. 71)
Inequivalent atoms, fractional coordinates:
Ac  0.0000  0.1974  0.2397
Ac  0.2066  0.5000  0.1764
Ac  0.2330  0.3244  0.5000
Ga  0.0000  0.0000  0.5000
Si  0.0000  0.0000  0.0000
Si  0.0000  0.3801  0.0000
Si  0.0000  0.5000  0.3905



2.
An optimized crystal structure of Ac7Ga2Si2. Source: Alexandria, functional GGA-PBE.

Lattice parameters (Å, degrees): 8.5825 11.8146 7.7796 90.00 90.00 90.00
Space group Cmmm (No. 65)
Inequivalent atoms, fractional coordinates:
Ac  0.0000  0.0000  0.0000
Ac  0.0000  0.5000  0.2529
Ac  0.2500  0.2500  0.2775
Ga  0.1570  0.0000  0.5000
Si  0.0000  0.2820  0.0000



no.,uncorrected energy (eV per atom)
1,-4.780
2,-4.349